# PrIn6Bi | Alexandria via LeMat-Bulk | PBE | relaxed
data_PrIn6Bi
_cell_length_a 6.9430
_cell_length_b 11.4515
_cell_length_c 5.6565
_cell_angle_alpha 90.00
_cell_angle_beta 90.00
_cell_angle_gamma 90.00
_symmetry_space_group_name_H-M 'C m m m'
_symmetry_Int_Tables_number 65
_symmetry_space_group_name_Hall '-C 2 2'
loop_
_atom_site_label
_atom_site_type_symbol
_atom_site_fract_x
_atom_site_fract_y
_atom_site_fract_z
Pr1 Pr 0.0000 0.0000 0.0000
In1 In 0.0000 0.2230 0.5000
In2 In 0.2234 0.5000 0.5000
In3 In 0.2500 0.2500 0.0000
Bi1 Bi 0.0000 0.5000 0.0000
# DFT total energy   -0.2421 Ry per atom